1.
Ca2Ac4Sm | GGA-PBE | optimized geometry

Unit cell a=7.759 b=7.759 c=6.471 alpha=90.00 beta=90.00 gamma=128.27
Fractional positions:
Ca 0.107 0.893 0.000
Ca 0.893 0.107 0.000
Ac 0.194 0.806 0.500
Ac 0.361 0.639 0.000
Ac 0.639 0.361 0.000
Ac 0.806 0.194 0.500
Sm 0.500 0.500 0.500

Results
E_form in eV per atom: 0.4631
Crystal system: orthorhombic

2.
HoHf3Sc2N6 | GGA-PBE | optimized geometry

Unit cell a=5.604 b=5.604 c=5.632 alpha=99.59 beta=99.59 gamma=119.91
Fractional positions:
Ho 0.000 0.000 0.000
Hf 0.168 0.832 0.500
Hf 0.500 0.500 0.500
Hf 0.832 0.168 0.500
Sc 0.333 0.667 0.000
Sc 0.667 0.333 0.000
N 0.087 0.428 0.262
N 0.254 0.254 0.739
N 0.428 0.087 0.262
N 0.572 0.913 0.738
N 0.746 0.746 0.261
N 0.913 0.572 0.738

Results
E_form (uncorrected) in meV per atom: -1863
Crystal system: monoclinic

3.
NbHSe2 | GGA-PBE | optimized geometry

Unit cell a=3.384 b=3.384 c=13.080 alpha=90.00 beta=90.00 gamma=120.00
Fractional positions:
Nb 0.333 0.667 0.250
Nb 0.667 0.333 0.750
H 0.000 0.000 0.000
H 0.000 0.000 0.500
Se 0.333 0.667 0.617
Se 0.333 0.667 0.883
Se 0.667 0.333 0.117
Se 0.667 0.333 0.383

Results
E above lowest polymorph in meV per atom: 558
Crystal system: hexagonal

4.
AcAlZnNi | GGA-PBE | optimized geometry

Unit cell a=4.306 b=4.306 c=5.936 alpha=111.37 beta=111.37 gamma=59.97
Fractional positions:
Ac 0.000 0.000 0.000
Al 0.515 0.515 0.544
Zn 0.803 0.803 0.408
Ni 0.190 0.190 0.569

Results
E_form in eV per atom: -0.3935
Crystal system: monoclinic

no.,DOS(E_F) (states/eV/cell),final energy (eV per atom)
1,12.6,-3.13
2,3.1,-9.95
3,3.6,-5.30
4,3.3,-4.12